1.
DFT (PBE) results for a relaxed structure of Ba2LiZn4Pt3.

Values from the calculation:
Formation enthalpy at 0 K ... -0.561 eV/atom
Crystal system ... tetragonal
Space-group type ... P-4m2 (115)
Electronic total energy ... -3.4584 eV/atom

a b c (Å): 4.558 4.558 10.437
angles (deg): 90.00 90.00 90.00
Fractional coordinates of all 10 atoms:
Ba: 0.500 0.000 0.247
Ba: 0.000 0.500 0.753
Li: 0.500 0.500 0.500
Zn: 0.500 0.500 0.000
Zn: 0.000 0.000 0.000
Zn: 0.500 0.000 0.623
Zn: 0.000 0.500 0.377
Pt: 0.000 0.000 0.500
Pt: 0.500 0.000 0.873
Pt: 0.000 0.500 0.127

2.
DFT (PBE) results for a relaxed structure of HAuI2N.

Values from the calculation:
Crystal system ... tetragonal
Space-group type ... P4/mmm (123)
Electronic total energy ... -2.3649 eV/atom

a b c (Å): 6.236 6.236 3.721
angles (deg): 90.00 90.00 90.00
Fractional coordinates of all 5 atoms:
I: 0.000 0.500 0.000
I: 0.500 0.000 0.000
H: 0.500 0.500 0.500
Au: 0.000 0.000 0.000
N: 0.000 0.000 0.500

3.
DFT (PBE) results for a relaxed structure of Cs5H4Au2.

Values from the calculation:
Crystal system ... monoclinic
Space-group type ... C2/m (12)
Electronic total energy ... -2.3353 eV/atom

a b c (Å): 5.112 8.201 10.301
angles (deg): 97.63 104.37 90.00
Fractional coordinates of all 11 atoms:
Cs: 0.902 0.376 0.803
Cs: 0.098 0.624 0.197
Cs: 0.821 0.884 0.641
Cs: 0.500 0.000 0.000
Cs: 0.179 0.116 0.359
H: 0.352 0.110 0.704
H: 0.961 0.749 0.921
H: 0.648 0.890 0.296
H: 0.039 0.251 0.079
Au: 0.738 0.485 0.476
Au: 0.262 0.515 0.524

4.
DFT (PBE) results for a relaxed structure of TmSiNi3.

Values from the calculation:
Crystal system ... tetragonal
Space-group type ... I-4m2 (119)
Electronic total energy ... -5.7052 eV/atom

a b c (Å): 4.775 4.775 8.174
angles (deg): 106.98 106.98 90.00
Fractional coordinates of all 10 atoms:
Tm: 0.615 0.115 0.231
Tm: 0.885 0.385 0.769
Si: 0.000 0.000 0.000
Si: 0.250 0.750 0.500
Ni: 0.620 0.878 0.756
Ni: 0.122 0.864 0.244
Ni: 0.122 0.380 0.244
Ni: 0.136 0.878 0.756
Ni: 0.271 0.271 0.541
Ni: 0.729 0.729 0.459

5.
DFT (PBE) results for a relaxed structure of CeVSi2.

Values from the calculation:
Crystal system ... trigonal
Space-group type ... R-3m (166)
Electronic total energy ... -6.8751 eV/atom

a b c (Å): 4.192 4.192 5.493
angles (deg): 67.57 67.57 60.00
Fractional coordinates of all 4 atoms:
Si: 0.716 0.716 0.851
Si: 0.284 0.284 0.149
Ce: 0.500 0.500 0.500
V: 0.000 0.000 0.000

6.
DFT (PBE) results for a relaxed structure of RbInSb2Pb.

Values from the calculation:
Crystal system ... monoclinic
Space-group type ... C2/m (12)
Electronic total energy ... -3.3210 eV/atom

a b c (Å): 4.730 9.424 10.158
angles (deg): 79.40 76.54 75.47
Fractional coordinates of all 10 atoms:
Rb: 0.803 0.765 0.629
Rb: 0.197 0.235 0.371
In: 0.049 0.081 0.822
In: 0.951 0.919 0.178
Sb: 0.422 0.821 0.335
Sb: 0.578 0.179 0.665
Sb: 0.842 0.238 0.077
Sb: 0.158 0.762 0.923
Pb: 0.360 0.375 0.904
Pb: 0.640 0.625 0.096

7.
DFT (PBE) results for a relaxed structure of La6PrTl2.

Values from the calculation:
Formation enthalpy at 0 K ... -0.172 eV/atom
Crystal system ... monoclinic
Space-group type ... C2/m (12)
Electronic total energy ... -4.5143 eV/atom

a b c (Å): 3.942 7.004 12.314
angles (deg): 73.74 80.79 73.65
Fractional coordinates of all 9 atoms:
La: 0.681 0.514 0.125
La: 0.319 0.486 0.875
La: 0.308 0.794 0.590
La: 0.984 0.690 0.342
La: 0.016 0.310 0.658
La: 0.692 0.206 0.410
Pr: 0.000 0.000 0.000
Tl: 0.357 0.084 0.201
Tl: 0.643 0.916 0.799

8.
DFT (PBE) results for a relaxed structure of TbPrAu6.

Values from the calculation:
Formation enthalpy at 0 K ... -0.643 eV/atom
Crystal system ... monoclinic
Space-group type ... C2/m (12)
Electronic total energy ... -4.2776 eV/atom

a b c (Å): 4.742 5.011 8.561
angles (deg): 86.60 73.92 61.77
Fractional coordinates of all 8 atoms:
Tb: 0.000 0.000 0.000
Pr: 0.000 0.500 0.500
Au: 0.242 0.876 0.641
Au: 0.503 0.242 0.753
Au: 0.250 0.379 0.121
Au: 0.497 0.758 0.247
Au: 0.758 0.124 0.359
Au: 0.750 0.621 0.879

9.
DFT (PBE) results for a relaxed structure of MgMn2Pt3.

Values from the calculation:
Formation enthalpy at 0 K ... -0.533 eV/atom
Crystal system ... tetragonal
Space-group type ... P4/mmm (123)
Electronic total energy ... -6.8755 eV/atom

a b c (Å): 2.932 2.932 10.730
angles (deg): 90.00 90.00 90.00
Fractional coordinates of all 6 atoms:
Mg: 0.500 0.500 0.500
Mn: 0.500 0.500 0.835
Mn: 0.500 0.500 0.165
Pt: 0.000 0.000 0.000
Pt: 0.000 0.000 0.674
Pt: 0.000 0.000 0.326

10.
DFT (PBE) results for a relaxed structure of BeTlCu4.

Values from the calculation:
Formation enthalpy at 0 K ... 0.293 eV/atom
Crystal system ... cubic
Space-group type ... F-43m (216)
Electronic total energy ... -3.4532 eV/atom

a b c (Å): 4.923 4.923 4.923
angles (deg): 60.00 60.00 60.00
Fractional coordinates of all 6 atoms:
Be: 0.000 0.000 0.000
Tl: 0.750 0.750 0.750
Cu: 0.878 0.374 0.374
Cu: 0.374 0.374 0.878
Cu: 0.374 0.878 0.374
Cu: 0.374 0.374 0.374

11.
DFT (PBE) results for a relaxed structure of HfBePd3.

Values from the calculation:
Formation enthalpy at 0 K ... -0.381 eV/atom
Crystal system ... cubic
Space-group type ... Pm-3m (221)
Electronic total energy ... -6.2327 eV/atom

a b c (Å): 4.267 4.267 4.267
angles (deg): 90.00 90.00 90.00
Fractional coordinates of all 5 atoms:
Be: 0.000 0.000 0.000
Hf: 0.500 0.500 0.500
Pd: 0.000 0.500 0.000
Pd: 0.000 0.000 0.500
Pd: 0.500 0.000 0.000

12.
DFT (PBE) results for a relaxed structure of Pr12Ag6Rh.

Values from the calculation:
Formation enthalpy at 0 K ... -0.112 eV/atom
Crystal system ... trigonal
Space-group type ... R-3 (148)
Electronic total energy ... -4.4176 eV/atom

a b c (Å): 8.394 8.394 8.394
angles (deg): 93.37 93.37 93.37
Fractional coordinates of all 19 atoms:
Pr: 0.805 0.566 0.459
Pr: 0.459 0.805 0.566
Pr: 0.566 0.459 0.805
Pr: 0.195 0.434 0.541
Pr: 0.541 0.195 0.434
Pr: 0.434 0.541 0.195
Pr: 0.967 0.093 0.321
Pr: 0.907 0.679 0.033
Pr: 0.679 0.033 0.907
Pr: 0.033 0.907 0.679
Pr: 0.093 0.321 0.967
Pr: 0.321 0.967 0.093
Ag: 0.660 0.859 0.260
Ag: 0.740 0.340 0.141
Ag: 0.141 0.740 0.340
Ag: 0.340 0.141 0.740
Ag: 0.260 0.660 0.859
Ag: 0.859 0.260 0.660
Rh: 0.000 0.000 0.000

13.
DFT (PBE) results for a relaxed structure of TaSi2Ru2.

Values from the calculation:
Crystal system ... tetragonal
Space-group type ... P4/mbm (127)
Electronic total energy ... -8.7287 eV/atom

a b c (Å): 7.060 7.060 2.822
angles (deg): 90.00 90.00 90.00
Fractional coordinates of all 10 atoms:
Ru: 0.151 0.651 0.500
Ru: 0.651 0.849 0.500
Ru: 0.849 0.349 0.500
Ru: 0.349 0.151 0.500
Si: 0.357 0.857 0.000
Si: 0.857 0.643 0.000
Si: 0.643 0.143 0.000
Si: 0.143 0.357 0.000
Ta: 0.000 0.000 0.000
Ta: 0.500 0.500 0.000

14.
DFT (PBE) results for a relaxed structure of GaSiGe3.

Values from the calculation:
Crystal system ... cubic
Space-group type ... Pm-3m (221)
Electronic total energy ... -3.8567 eV/atom

a b c (Å): 4.816 4.816 4.816
angles (deg): 90.00 90.00 90.00
Fractional coordinates of all 5 atoms:
Ge: 0.000 0.500 0.000
Ge: 0.000 0.000 0.500
Ge: 0.500 0.000 0.000
Si: 0.000 0.000 0.000
Ga: 0.500 0.500 0.500

15.
DFT (PBE) results for a relaxed structure of TbBeZn2Au5.

Values from the calculation:
Formation enthalpy at 0 K ... -0.276 eV/atom
Crystal system ... orthorhombic
Space-group type ... Immm (71)
Electronic total energy ... -3.3082 eV/atom

a b c (Å): 4.466 6.016 7.513
angles (deg): 113.60 107.29 90.00
Fractional coordinates of all 9 atoms:
Tb: 0.000 0.500 0.000
Be: 0.500 0.000 0.000
Zn: 0.198 0.198 0.397
Zn: 0.802 0.802 0.603
Au: 0.634 0.871 0.269
Au: 0.366 0.129 0.731
Au: 0.366 0.602 0.731
Au: 0.634 0.398 0.269
Au: 0.000 0.000 0.000

16.
DFT (PBE) results for a relaxed structure of MgUMnRu.

Values from the calculation:
Formation enthalpy at 0 K ... 0.051 eV/atom
Crystal system ... cubic
Space-group type ... F-43m (216)
Electronic total energy ... -7.7812 eV/atom

a b c (Å): 4.577 4.577 4.577
angles (deg): 60.00 60.00 60.00
Fractional coordinates of all 4 atoms:
Ru: 0.750 0.750 0.750
Mg: 0.000 0.000 0.000
Mn: 0.250 0.250 0.250
U: 0.500 0.500 0.500

17.
DFT (PBE) results for a relaxed structure of Ac2ErGe4Ir3.

Values from the calculation:
Formation enthalpy at 0 K ... -0.729 eV/atom
Crystal system ... tetragonal
Space-group type ... P-4m2 (115)
Electronic total energy ... -6.5118 eV/atom

a b c (Å): 4.392 4.392 11.164
angles (deg): 90.00 90.00 90.00
Fractional coordinates of all 10 atoms:
Ac: 0.500 0.000 0.231
Ac: 0.000 0.500 0.769
Er: 0.500 0.500 0.500
Ge: 0.500 0.500 0.000
Ge: 0.000 0.000 0.000
Ge: 0.500 0.000 0.660
Ge: 0.000 0.500 0.340
Ir: 0.000 0.000 0.500
Ir: 0.500 0.000 0.886
Ir: 0.000 0.500 0.114

18.
DFT (PBE) results for a relaxed structure of K2GeSbS4.

Values from the calculation:
Crystal system ... tetragonal
Space-group type ... I-4 (82)
Electronic total energy ... -4.0001 eV/atom

a b c (Å): 7.557 7.557 7.557
angles (deg): 79.45 126.27 126.27
Fractional coordinates of all 8 atoms:
K: 0.500 0.750 0.250
K: 0.000 0.000 0.000
Ge: 0.000 0.500 0.500
Sb: 0.500 0.250 0.750
S: 0.603 0.382 0.452
S: 0.070 0.221 0.618
S: 0.930 0.548 0.151
S: 0.397 0.849 0.779

19.
DFT (PBE) results for a relaxed structure of Si3RuBr.

Values from the calculation:
Crystal system ... cubic
Space-group type ... Pm-3m (221)
Electronic total energy ... -5.3271 eV/atom

a b c (Å): 4.642 4.642 4.642
angles (deg): 90.00 90.00 90.00
Fractional coordinates of all 5 atoms:
Ru: 0.000 0.000 0.000
Si: 0.000 0.500 0.000
Si: 0.000 0.000 0.500
Si: 0.500 0.000 0.000
Br: 0.500 0.500 0.500

20.
DFT (PBE) results for a relaxed structure of Ca3PtW.

Values from the calculation:
Formation enthalpy at 0 K ... 0.599 eV/atom
Crystal system ... cubic
Space-group type ... Pm-3m (221)
Electronic total energy ... -4.4006 eV/atom

a b c (Å): 5.459 5.459 5.459
angles (deg): 90.00 90.00 90.00
Fractional coordinates of all 5 atoms:
Ca: 0.000 0.500 0.000
Ca: 0.000 0.000 0.500
Ca: 0.500 0.000 0.000
W: 0.500 0.500 0.500
Pt: 0.000 0.000 0.000